[1]
# PuIN (GGA-PBE, relaxed)
# Formation energy without anion corrections = -551 meV per atom
data_PuIN
_chemical_formula_sum 'Pu2 I2 N2'
_space_group_name_H-M_alt 'I 4 m m'
_space_group_IT_number 107
_space_group_name_Hall 'I 4 -2'
_cell_length_a 3.324
_cell_length_b 3.324
_cell_length_c 12.147
_cell_angle_alpha 90.00
_cell_angle_beta 90.00
_cell_angle_gamma 90.00
loop_
_atom_site_label
_atom_site_fract_x
_atom_site_fract_y
_atom_site_fract_z
_atom_site_occupancy
Pu1 0.000 0.000 0.000 1
I1 0.000 0.000 0.267 1
N1 0.000 0.000 0.528 1



[2]
# Pa2Co2Os (GGA-PBE, relaxed)
# ΔE to the lowest computed polymorph = 0.4160 eV per atom
# Formation energy from the elements = 24 meV/atom
data_Pa2Co2Os
_chemical_formula_sum 'Pa16 Co16 Os8'
_space_group_name_H-M_alt 'F d d d'
_space_group_IT_number 70
_cell_length_a 4.223
_cell_length_b 12.475
_cell_length_c 14.628
_cell_angle_alpha 90.00
_cell_angle_beta 90.00
_cell_angle_gamma 90.00
loop_
_space_group_symop_operation_xyz
'x,y,z'
'-x,-y,-z'
'-x+1/4,-y+1/4,z'
'x+1/4,y+1/4,-z'
'x,-y+1/4,-z+1/4'
'-x,y+1/4,z+1/4'
'-x+1/4,y,-z+1/4'
'x+1/4,-y,z+1/4'
'x,y+1/2,z+1/2'
'-x,-y+1/2,-z+1/2'
'-x+1/4,-y+3/4,z+1/2'
'x+1/4,y+3/4,-z+1/2'
'x,-y+3/4,-z+3/4'
'-x,y+3/4,z+3/4'
'-x+1/4,y+1/2,-z+3/4'
'x+1/4,-y+1/2,z+3/4'
'x+1/2,y,z+1/2'
'-x+1/2,-y,-z+1/2'
'-x+3/4,-y+1/4,z+1/2'
'x+3/4,y+1/4,-z+1/2'
'x+1/2,-y+1/4,-z+3/4'
'-x+1/2,y+1/4,z+3/4'
'-x+3/4,y,-z+3/4'
'x+3/4,-y,z+3/4'
'x+1/2,y+1/2,z'
'-x+1/2,-y+1/2,-z'
'-x+3/4,-y+3/4,z'
'x+3/4,y+3/4,-z'
'x+1/2,-y+3/4,-z+1/4'
'-x+1/2,y+3/4,z+1/4'
'-x+3/4,y+1/2,-z+1/4'
'x+3/4,-y+1/2,z+1/4'
loop_
_atom_site_label
_atom_site_fract_x
_atom_site_fract_y
_atom_site_fract_z
_atom_site_occupancy
Pa1 0.125 0.273 0.125 1
Co1 0.000 0.000 0.500 1
Os1 0.125 0.125 0.625 1



[3]
# NbCr2CdSi (GGA-PBE, relaxed)
# Formation energy without anion corrections = 993 meV per atom
data_NbCr2CdSi
_chemical_formula_sum 'Nb1 Cr2 Cd1 Si1'
_space_group_name_H-M_alt 'P 4/m m m'
_space_group_IT_number 123
_space_group_name_Hall '-P 4 2'
_cell_length_a 4.433
_cell_length_b 4.433
_cell_length_c 4.703
_cell_angle_alpha 90.00
_cell_angle_beta 90.00
_cell_angle_gamma 90.00
loop_
_atom_site_label
_atom_site_fract_x
_atom_site_fract_y
_atom_site_fract_z
_atom_site_occupancy
Nb1 0.000 0.000 0.000 1
Cr1 0.000 0.500 0.500 1
Cd1 0.500 0.500 0.000 1
Si1 0.500 0.500 0.500 1